The following is a DFT calculation (PBE) of crystalline Cu2PW at its relaxed geometry.

Summary:
- formation enthalpy at 0 K (eV per atom) = 0.1409
- DFT total energy (eV per atom) = -6.4980
- total magnetic moment (Bohr magnetons per cell) = 0.00
- theoretical density (g/cm3) = 10.84

Unit cell a=5.1592 b=5.1592 c=5.1592 alpha=148.25 beta=133.10 gamma=57.75
Positions (direct):
1 Cu 0.2264 0.2264 0.0000
2 Cu 0.7736 0.7736 0.0000
3 P 0.0000 0.5000 0.5000
4 W 0.5000 0.0000 0.5000